No. 1
4
Lattice="0.000 3.155 3.155 3.155 0.000 3.155 3.155 3.155 0.000" Properties=species:S:1:pos:R:3 comment="TaGa2Cu | OQMD | PBE | relaxed" final_energy_ev_per_atom=-5.07 sg=F-43m pbc="T T T"
Cu 1.578 1.578 1.578
Ga 0.000 0.000 0.000
Ga 4.733 4.733 4.733
Ta 3.155 3.155 3.155

=====

No. 2
4
Lattice="0.000 3.102 3.102 3.102 0.000 3.102 3.102 3.102 0.000" Properties=species:S:1:pos:R:3 comment="TaGaCuTc | OQMD | PBE | relaxed" relative_energy_ev_per_atom=0.000 sg=F-43m pbc="T T T"
Cu 4.653 4.653 4.653
Ga 0.000 0.000 0.000
Ta 3.102 3.102 3.102
Tc 1.551 1.551 1.551

=====

No. 3
4
Lattice="0.000 3.153 3.153 3.153 0.000 3.153 3.153 3.153 0.000" Properties=species:S:1:pos:R:3 comment="TaGaCuW | OQMD | PBE | relaxed" relative_energy_ev_per_atom=0.000 sg=F-43m pbc="T T T"
Cu 4.729 4.729 4.729
Ga 0.000 0.000 0.000
Ta 3.153 3.153 3.153
W 1.576 1.576 1.576

=====

No. 4
4
Lattice="-3.525 2.416 2.129 -3.144 2.449 -2.630 -4.507 -1.531 -0.371" Properties=species:S:1:pos:R:3 comment="YTaGaCu | OQMD | PBE | relaxed" relative_energy_ev_per_atom=0.000 sg=F-43m pbc="T T T"
Cu -8.382 2.500 -0.654
Ga 0.000 0.000 0.000
Ta -2.794 0.833 -0.218
Y -5.588 1.667 -0.436

=====

No. 5
4
Lattice="3.609 -1.320 2.140 0.189 -4.050 1.704 2.642 -3.022 -1.799" Properties=species:S:1:pos:R:3 comment="TaZnGaCu | OQMD | PBE | relaxed" relative_energy_ev_per_atom=0.000 sg=F-43m pbc="T T T"
Cu 4.829 -6.294 1.533
Ga 0.000 0.000 0.000
Ta 1.610 -2.098 0.511
Zn 3.220 -4.196 1.022

=====

No. 6
4
Lattice="0.866 -4.251 0.696 -2.738 -2.430 2.430 -2.478 -3.088 -1.906" Properties=species:S:1:pos:R:3 comment="TaZnGaCu | OQMD | PBE | relaxed" relative_energy_ev_per_atom=0.088 sg=F-43m pbc="T T T"
Cu -3.262 -7.326 0.915
Ga 0.000 0.000 0.000
Ta -2.175 -4.884 0.610
Zn -1.087 -2.442 0.305

=====

No. 7
8
Lattice="-4.707 2.854 -3.091 -0.457 -1.003 6.216 1.827 3.827 0.751" Properties=species:S:1:pos:R:3 comment="TbGa6Cu | OQMD | PBE | relaxed" final_energy_ev_per_atom=-3.49 sg=P-6m2 pbc="T T T"
Cu 0.913 1.913 0.376
Ga -0.833 0.126 1.385
Ga -1.087 -0.431 4.836
Ga -3.700 1.153 3.120
Ga 0.467 1.516 3.485
Ga -1.575 2.754 2.144
Ga -1.773 2.319 4.840
Tb -3.290 1.568 0.011

=====

No. 8
9
Lattice="-3.150 -3.668 2.968 -0.600 -5.641 0.005 6.777 2.126 4.416" Properties=species:S:1:pos:R:3 comment="Tb3Ga4Cu2 | OQMD | PBE | relaxed" final_energy_ev_per_atom=-4.29 sg=C2/m pbc="T T T"
Cu -0.417 -4.992 2.966
Cu 3.444 -2.191 4.423
Ga -2.232 -6.650 2.508
Ga 2.350 0.451 1.722
Ga 0.678 -7.634 5.667
Ga 5.259 -0.533 4.881
Tb 0.000 0.000 0.000
Tb 1.118 -2.315 2.504
Tb 1.910 -4.868 4.885